(1)
A plane-wave DFT calculation with GGA-PBE was carried out for a relaxed DyBeCu crystal.

```
data_DyBeCu
_chemical_formula_sum 'Dy4 Be4 Cu4'
_cell_length_a 6.1047
_cell_length_b 6.1047
_cell_length_c 6.1047
_cell_angle_alpha 90.00
_cell_angle_beta 90.00
_cell_angle_gamma 90.00
_space_group_name_H-M_alt 'F -4 3 m'
_space_group_IT_number 216
_space_group_name_Hall 'F -4 2 3'
loop_
_atom_site_label
_atom_site_type_symbol
_atom_site_fract_x
_atom_site_fract_y
_atom_site_fract_z
Dy1 Dy 0.0000 0.0000 0.0000
Be1 Be 0.0000 0.0000 0.5000
Cu1 Cu 0.2500 0.2500 0.7500
```

=====

(2)
A plane-wave DFT calculation with GGA-PBE was carried out for a relaxed KZrAgTe3 crystal.

```
data_KZrAgTe3
_chemical_formula_sum 'K4 Zr4 Ag4 Te12'
_cell_length_a 15.8981
_cell_length_b 4.2399
_cell_length_c 11.3957
_cell_angle_alpha 90.00
_cell_angle_beta 90.00
_cell_angle_gamma 90.00
_space_group_name_H-M_alt 'P n m a'
_space_group_IT_number 62
loop_
_space_group_symop_operation_xyz
'x,y,z'
'-x,-y,-z'
'-x+1/2,-y,z+1/2'
'x+1/2,y,-z+1/2'
'x+1/2,-y+1/2,-z+1/2'
'-x+1/2,y+1/2,z+1/2'
'-x,y+1/2,-z'
'x,-y+1/2,z'
loop_
_atom_site_label
_atom_site_type_symbol
_atom_site_fract_x
_atom_site_fract_y
_atom_site_fract_z
K1 K 0.2323 0.2500 0.0493
Zr1 Zr 0.0143 0.2500 0.3211
Ag1 Ag 0.0137 0.7500 0.0932
Te1 Te 0.0888 0.2500 0.5653
Te2 Te 0.1036 0.7500 0.8667
Te3 Te 0.1378 0.7500 0.2677
```

=====

Ordered calculated total energy results: -45.5, -106.8; unit eV for the cell shown.
Ordered theoretical density results: 6.863, 5.370; unit g/cm3.